(1)
ZnAg2Pt after structural relaxation. Source: Alexandria via LeMat-Bulk, functional PBE.

Structure (POSCAR):
```
ZnAg2Pt
1.0
-0.046 1.119 -5.380
-4.676 -0.323 -2.869
2.846 2.289 4.106
Ag Zn Pt
2 1 1
Cartesian
-2.302 0.388 -4.021
-0.059 0.010 -0.103
-2.095 1.182 -1.444
0.220 1.903 -2.699
```

Calculated values
SG: Immm (71)
energy of formation from the pure elements: -0.13 eV per atom

=====

(2)
ThZrTe2 after structural relaxation. Source: Alexandria via LeMat-Bulk, functional PBE.

Structure (POSCAR):
```
ThZrTe2
1.0
-2.870 -2.310 0.745
1.884 -3.460 -3.473
2.820 -2.279 3.800
Th Te Zr
1 2 1
Cartesian
-1.435 -1.155 0.372
0.942 -1.730 -1.737
1.410 -1.139 1.900
0.917 -4.025 0.535
```

Calculated values
energy relative to the elements, uncorrected: -897 meV per atom
SG: P4/mmm (123)

=====

(3)
Dy3YTmSc after structural relaxation. Source: Alexandria via LeMat-Bulk, functional PBE.

Structure (POSCAR):
```
Dy3YTmSc
1.0
4.956 0.000 0.000
0.000 7.707 -1.163
0.000 -3.201 9.951
Tm Dy Y Sc
2 6 2 2
Cartesian
3.717 0.080 8.253
1.239 4.425 0.536
1.239 2.242 7.147
3.717 6.595 -0.580
3.717 2.264 1.642
1.239 -2.089 9.369
1.239 3.409 3.820
3.717 1.096 4.969
3.717 4.509 5.987
1.239 -0.004 2.802
3.717 5.554 2.735
1.239 -1.048 6.054
```

Calculated values
SG: P2_1/m (11)
energy of formation from the pure elements: 0.04 eV per atom

=====

(4)
NaY2TaOs after structural relaxation. Source: Alexandria via LeMat-Bulk, functional PBE.

Structure (POSCAR):
```
NaY2TaOs
1.0
5.514 0.000 0.000
0.000 4.878 0.000
0.000 0.000 5.514
Y Ta Na Os
2 1 1 1
Cartesian
0.000 0.000 2.757
2.757 0.000 0.000
0.000 2.439 0.000
2.757 2.439 2.757
0.000 0.000 0.000
```

Calculated values
SG: P4/mmm (123)
energy of formation from the pure elements: 0.39 eV per atom

=====

(5)
Dy3Y5Tm2 after structural relaxation. Source: Alexandria via LeMat-Bulk, functional PBE.

Structure (POSCAR):
```
Dy3Y5Tm2
1.0
-7.665 4.136 -3.506
-5.477 -6.295 -4.310
2.737 -0.250 10.722
Dy Y Tm
6 10 4
Cartesian
-4.423 -5.430 5.121
-5.982 3.021 -2.215
-2.936 -2.360 4.883
-7.468 -0.049 -1.977
-6.707 2.413 3.692
-3.698 -4.822 -0.786
-8.822 -2.971 -3.466
-1.583 0.562 6.372
-6.419 -2.725 0.104
-5.527 -0.218 5.540
-3.986 0.316 2.802
-2.896 -4.900 2.407
-8.192 -0.555 2.435
-2.213 -1.854 0.471
-4.878 -2.191 -2.634
-7.509 2.491 0.499
-4.049 2.846 5.315
-4.775 0.396 -0.417
-6.356 -5.255 -2.409
-5.630 -2.805 3.323
```

Calculated values
SG: C2/c (15)
energy of formation from the pure elements: 0.19 eV per atom

=====

(6)
Tl2PRuS after structural relaxation. Source: Alexandria via LeMat-Bulk, functional PBE.

Structure (POSCAR):
```
Tl2PRuS
1.0
5.472 0.000 0.000
0.000 4.283 0.000
0.000 0.000 5.472
P Tl S Ru
1 2 1 1
Cartesian
2.736 2.142 2.736
2.736 0.000 0.000
0.000 0.000 2.736
0.000 2.142 0.000
0.000 0.000 0.000
```

Calculated values
energy relative to the elements, uncorrected: 482 meV per atom
SG: P4/mmm (123)

=====

(7)
SrLiSi2Au4 after structural relaxation. Source: Alexandria via LeMat-Bulk, functional PBE.

Structure (POSCAR):
```
SrLiSi2Au4
1.0
4.433 0.000 0.000
2.217 3.839 0.000
2.217 1.280 9.044
Au Sr Si Li
4 1 2 1
Cartesian
2.217 1.280 5.244
4.433 2.560 7.037
6.650 3.839 3.800
4.433 2.560 2.007
0.000 0.000 0.000
6.650 3.839 6.546
2.217 1.280 2.498
4.433 2.560 4.522
```

Calculated values
energy relative to the elements, uncorrected: -371 meV per atom
SG: R-3m (166)

=====

(8)
TcHg2P after structural relaxation. Source: Alexandria via LeMat-Bulk, functional PBE.

Structure (POSCAR):
```
TcHg2P
1.0
-3.029 1.081 -2.275
1.716 -1.720 -3.101
-2.239 -4.099 1.033
P Hg Tc
1 2 1
Cartesian
-1.776 -2.369 -2.172
0.858 -0.860 -1.551
-1.514 0.541 -1.138
-1.120 -2.049 0.517
```

Calculated values
SG: P4/mmm (123)
energy of formation from the pure elements: 0.74 eV per atom

=====

(9)
Li3MgRh3O8 after structural relaxation. Source: Alexandria via LeMat-Bulk, functional PBE.

Structure (POSCAR):
```
Li3MgRh3O8
1.0
6.057 0.000 0.000
-3.029 5.245 -0.019
0.000 -3.482 4.871
Mg Li Rh O
1 3 3 8
Cartesian
0.000 -1.741 2.435
-1.514 2.622 -0.010
0.000 0.000 0.000
1.514 2.622 -0.010
3.029 -1.741 2.435
-1.514 0.882 2.426
1.514 0.882 2.426
-1.493 2.622 3.483
0.000 1.751 1.298
1.493 2.622 3.483
4.522 -0.859 1.368
1.535 -0.859 1.368
3.029 0.012 3.554
0.000 0.036 3.492
3.029 1.727 1.359
```

Calculated values
energy relative to the elements, uncorrected: -1336 meV per atom
SG: R-3m (166)

=====

Number 1: calculated total energy -13.5 eV per cell. Number 2: calculated total energy -25.8 eV per cell. Number 3: calculated total energy -61.7 eV per cell. Number 4: calculated total energy -35.4 eV per cell. Number 5: calculated total energy -106.3 eV per cell. Number 6: calculated total energy -21.1 eV per cell. Number 7: calculated total energy -30.5 eV per cell. Number 8: calculated total energy -13.4 eV per cell. Number 9: calculated total energy -89.1 eV per cell.